P | {"formula": "CsBaTeI2", "functional": "PBE-GGA", "state": "optimized geometry", "lattice": [[6.7879, 0.0000, 0.0000], [0.0000, 6.7879, 0.0000], [0.0000, 0.0000, 6.7792]], "species": ["Cs", "Ba", "Te", "I", "I"], "frac_coords": [[0.0000, 0.0000, 0.0000], [0.5000, 0.5000, 0.5000], [0.5000, 0.5000, 0.0000], [0.0000, 0.5000, 0.5000], [0.5000, 0.0000, 0.5000]], "magmom_total_mub_per_cell": 1.02}

***

Q | {"formula": "CsBaTeI2", "functional": "PBE-GGA", "state": "optimized geometry", "lattice": [[6.7528, 0.0000, 0.0000], [0.0000, 6.7528, 0.0000], [0.0000, 0.0000, 6.2604]], "species": ["Cs", "Ba", "Te", "I", "I"], "frac_coords": [[0.0000, 0.0000, 0.0000], [0.5000, 0.5000, 0.5000], [0.0000, 0.0000, 0.5000], [0.0000, 0.5000, 0.0000], [0.5000, 0.0000, 0.0000]], "magmom_total_mub_per_cell": 0.00}

***

Of them, Q has the lowest stability.

***

P | {"formula": "CsBaTeI", "functional": "PBE-GGA", "state": "optimized geometry", "lattice": [[4.3512, -2.5119, 0.0000], [4.3512, 2.5119, 0.0000], [-2.9074, 0.0000, 9.4974]], "species": ["Cs", "Ba", "Te", "I"], "frac_coords": [[0.0000, 0.0000, 0.0000], [0.1817, 0.1817, 0.5472], [0.5794, 0.5794, 0.7398], [0.4303, 0.4303, 0.2932]], "magmom_total_mub_per_cell": 0.00}

***

Q | {"formula": "CsBaTeI", "functional": "PBE-GGA", "state": "optimized geometry", "lattice": [[0.0000, 4.4017, 4.4017], [4.4017, 0.0000, 4.4017], [4.4017, 4.4017, 0.0000]], "species": ["Cs", "Ba", "Te", "I"], "frac_coords": [[0.0000, 0.0000, 0.0000], [0.5000, 0.5000, 0.5000], [0.7500, 0.7500, 0.7500], [0.2500, 0.2500, 0.2500]], "magmom_total_mub_per_cell": 0.00}

***

Of them, Q has the lowest stability.

***

P | {"formula": "Cs2BaTlI6", "functional": "PBE-GGA", "state": "optimized geometry", "lattice": [[-4.6378, 4.6378, 6.5529], [4.6378, -4.6378, 6.5529], [4.6378, 4.6378, -6.5529]], "species": ["Cs", "Cs", "Ba", "Tl", "I", "I", "I", "I", "I", "I"], "frac_coords": [[0.2500, 0.7500, 0.5000], [0.7500, 0.2500, 0.5000], [0.0000, 0.0000, 0.0000], [0.5000, 0.5000, 0.0000], [0.2574, 0.2574, 0.0000], [0.2573, 0.2573, 0.5145], [0.2573, 0.7427, 0.0000], [0.7427, 0.2573, 0.0000], [0.7426, 0.7426, 0.0000], [0.7427, 0.7427, 0.4855]], "magmom_total_mub_per_cell": 0.00}

***

Q | {"formula": "Cs2BaTlI6", "functional": "PBE-GGA", "state": "optimized geometry", "lattice": [[8.9018, 0.0000, 0.0000], [0.0000, 9.3692, 0.0000], [-8.7414, 0.0000, 12.8283]], "species": ["Cs", "Cs", "Cs", "Cs", "Ba", "Ba", "Tl", "Tl", "I", "I", "I", "I", "I", "I", "I", "I", "I", "I", "I", "I"], "frac_coords": [[0.2202, 0.0773, 0.2478], [0.2202, 0.4227, 0.7478], [0.7798, 0.5773, 0.2522], [0.7798, 0.9227, 0.7522], [0.5000, 0.0000, 0.0000], [0.5000, 0.5000, 0.5000], [0.0000, 0.0000, 0.5000], [0.0000, 0.5000, 0.0000], [0.1354, 0.2053, 0.9481], [0.1354, 0.2947, 0.4481], [0.2467, 0.6927, 0.9489], [0.2467, 0.8073, 0.4489], [0.3443, 0.0243, 0.7414], [0.3443, 0.4757, 0.2414], [0.6557, 0.5243, 0.7586], [0.6557, 0.9757, 0.2586], [0.7533, 0.1927, 0.5511], [0.7533, 0.3073, 0.0511], [0.8646, 0.7053, 0.5519], [0.8646, 0.7947, 0.0519]], "magmom_total_mub_per_cell": 0.00}

***

Of them, P has the lowest stability.

***

P | {"formula": "CsBaIn", "functional": "PBE-GGA", "state": "optimized geometry", "lattice": [[-2.2242, 2.2242, 8.4873], [2.2242, -2.2242, 8.4873], [2.2242, 2.2242, -8.4873]], "species": ["Cs", "Ba", "In"], "frac_coords": [[0.0000, 0.0000, 0.0000], [0.7437, 0.7437, 0.0000], [0.3447, 0.3447, 0.0000]], "magmom_total_mub_per_cell": 0.00}

***

Q | {"formula": "CsBaIn", "functional": "PBE-GGA", "state": "optimized geometry", "lattice": [[5.2908, -3.2127, 0.0000], [5.2908, 3.2127, 0.0000], [-3.9185, 0.0000, 9.6728]], "species": ["Cs", "Cs", "Ba", "Ba", "In", "In"], "frac_coords": [[0.2158, 0.2158, 0.1151], [0.7842, 0.7842, 0.8849], [0.3494, 0.3494, 0.6104], [0.6506, 0.6506, 0.3896], [0.0181, 0.0181, 0.6470], [0.9819, 0.9819, 0.3530]], "magmom_total_mub_per_cell": 0.34}

***

Of them, P has the lowest stability.